Computed, not measured: PmDyTlPb after structural relaxation at the GGA-PBE level of DFT.

POSCAR file:
```
PmDyTlPb
1.0
5.462 0.000 0.000
2.731 4.730 0.000
2.731 1.577 4.459
Pb Tl Pm Dy
1 1 1 1
Cartesian
5.462 3.153 2.230
0.000 0.000 0.000
8.192 4.730 3.345
2.731 1.577 1.115
```

Space group   F-43m (216)
Uncorrected energy   -4.243 eV per atom
Formation energy from the elements   -386 meV per atom

---

Computed, not measured: KSnPb4 after structural relaxation at the GGA-PBE level of DFT.

POSCAR file:
```
KSnPb4
1.0
6.918 -4.499 0.000
-1.409 8.130 0.000
0.000 0.000 8.730
Pb K Sn
8 2 2
Cartesian
1.303 4.537 6.548
0.594 2.052 8.524
3.388 3.894 4.159
0.594 2.052 4.571
0.825 4.221 2.183
4.613 -1.346 2.183
4.928 -1.138 6.548
3.388 3.894 0.206
-0.429 6.643 0.000
-0.429 6.643 4.365
3.170 1.611 6.548
2.779 1.353 2.183
```

Space group   Ama2 (40)
Uncorrected energy   -3.305 eV per atom
Formation energy from the elements   18 meV per atom